VASP calculation (PBE) on a geometry-optimized Pm3Tm structure.

Output
**Magnetic moment**: 0.0 μB per cell
**ΔH_f (0 K)**: 21 meV per atom
**V**: 33.64 A^3/atom
**Electronic total energy**: -4.66 eV per atom
**Distance to the lowest polymorph of the same formula**: 5 meV per atom

Unit cell a=7.3222 b=7.3222 c=5.7954 alpha=90.00 beta=90.00 gamma=120.00
Last column: nearest neighbours and their distance in Å.
Fractional coordinates of all 8 atoms:
Pm (0.1677, 0.3353, 0.2500)  4 Tm 3.58-3.66, 8 Pm 3.59-3.68
Pm (0.6647, 0.8323, 0.2500)  4 Tm 3.58-3.66, 8 Pm 3.59-3.68
Pm (0.1677, 0.8323, 0.2500)  4 Tm 3.58-3.66, 8 Pm 3.59-3.68
Pm (0.8323, 0.6647, 0.7500)  4 Tm 3.58-3.66, 8 Pm 3.59-3.68
Pm (0.3353, 0.1677, 0.7500)  4 Tm 3.58-3.66, 8 Pm 3.59-3.68
Pm (0.8323, 0.1677, 0.7500)  4 Tm 3.58-3.66, 8 Pm 3.59-3.68
Tm (0.3333, 0.6667, 0.7500)  12 Pm 3.58-3.66
Tm (0.6667, 0.3333, 0.2500)  12 Pm 3.58-3.66

=====

VASP calculation (PBE) on a geometry-optimized ErTmOsPt structure.

Output
**Magnetic moment**: 0.0 μB per cell
**ΔH_f (0 K)**: -732 meV per atom
**V**: 19.74 A^3/atom
**Electronic total energy**: -7.31 eV per atom

Unit cell a=4.8152 b=4.8152 c=4.8152 alpha=60.00 beta=60.00 gamma=60.00
Last column: nearest neighbours and their distance in Å.
Fractional coordinates of all 4 atoms:
Tm (0.5000, 0.5000, 0.5000)  4 Os 2.95, 4 Pt 2.95
Os (0.2500, 0.2500, 0.2500)  4 Er 2.95, 4 Tm 2.95
Pt (0.7500, 0.7500, 0.7500)  4 Er 2.95, 4 Tm 2.95
Er (0.0000, 0.0000, 0.0000)  4 Os 2.95, 4 Pt 2.95

=====

VASP calculation (PBE) on a geometry-optimized Ba2Sn3Hg structure.

Output
**Magnetic moment**: 0.0 μB per cell
**ΔH_f (0 K)**: -533 meV per atom
**V**: 35.66 A^3/atom
**Electronic total energy**: -3.23 eV per atom
**Distance to the lowest polymorph of the same formula**: 10 meV per atom

Unit cell a=5.0194 b=5.0446 c=8.4497 alpha=90.00 beta=90.00 gamma=90.00
Last column: nearest neighbours and their distance in Å.
Fractional coordinates of all 6 atoms:
Ba (0.0000, 0.5000, 0.9915)  10 Sn 3.74-3.88, 2 Hg 3.79
Ba (0.0000, 0.0000, 0.5079)  8 Sn 3.73-3.79, 4 Hg 3.87
Sn (0.5000, 0.0000, 0.8343)  3 Sn 2.88-2.91
Sn (0.5000, 0.0000, 0.1756)  2 Hg 2.83, 1 Sn 2.88
Sn (0.5000, 0.5000, 0.6633)  1 Hg 2.84, 2 Sn 2.91
Hg (0.5000, 0.5000, 0.3274)  3 Sn 2.83-2.84

=====

VASP calculation (PBE) on a geometry-optimized Ni2RuRh2 structure.

Output
**Magnetic moment**: 1.3 μB per cell
**ΔH_f (0 K)**: 341 meV per atom
**V**: 13.97 A^3/atom
**Electronic total energy**: -6.77 eV per atom
**Distance to the lowest polymorph of the same formula**: 268 meV per atom

Unit cell a=6.5258 b=4.5000 c=4.4436 alpha=65.59 beta=84.30 gamma=133.62
Last column: nearest neighbours and their distance in Å.
Fractional coordinates of all 5 atoms:
Ni (0.0000, 0.5000, 0.5000)  2 Ni 2.36, 2 Ru 2.42, 2 Rh 2.58
Ni (0.5000, 0.0000, 0.5000)  2 Ni 2.36, 2 Ru 2.42, 2 Rh 2.58
Ru (0.0000, 0.0000, 0.0000)  4 Ni 2.42, 6 Rh 2.64-2.70
Rh (0.6178, 0.4827, 0.7644)  6 Ni 2.58-2.79, 2 Rh 2.59-2.87, 3 Ru 2.64-2.70
Rh (0.3822, 0.5173, 0.2356)  6 Ni 2.58-2.79, 2 Rh 2.59-2.87, 3 Ru 2.64-2.70